A plane-wave DFT calculation with PBE+U was carried out for a relaxed structure of In3NiO.

Structure (CIF):
```
data_In3NiO
_chemical_formula_sum 'In3 Ni1 O1'
_cell_length_a 4.815
_cell_length_b 4.815
_cell_length_c 4.815
_cell_angle_alpha 90.00
_cell_angle_beta 90.00
_cell_angle_gamma 90.00
_symmetry_space_group_name_H-M 'P m -3 m'
_symmetry_Int_Tables_number 221
_symmetry_space_group_name_Hall '-P 4 2 3'
loop_
_atom_site_label
_atom_site_fract_x
_atom_site_fract_y
_atom_site_fract_z
_atom_site_occupancy
In1 0.000 0.000 0.500 1
Ni1 0.000 0.000 0.000 1
O1 0.500 0.500 0.500 1
```

Output
E above lowest polymorph = 32 meV per atom
Total moment = 0.0 μB/cell